Density functional theory data (PBE with a Hubbard U) for Li4FeP6O18 after structural relaxation.

Unit cell a=7.323 b=7.571 c=8.613 alpha=105.27 beta=104.97 gamma=112.98
Site moments in Bohr magnetons follow the coordinates.
Atoms (fractional coordinates):
O 0.493 0.313 0.057  0.00
O 0.507 0.683 0.930  0.01
O 0.100 0.297 0.910  0.00
Li 0.454 0.044 0.631  0.00
O 0.110 0.589 0.810  0.00
P 0.338 0.692 0.791  0.00
O 0.321 0.227 0.663  0.00
P 0.970 0.343 0.777  0.00
P 0.667 0.306 0.191  0.01
P 0.833 0.717 0.453  0.00
O 0.288 0.526 0.600  0.00
O 0.960 0.227 0.584  0.00
O 0.635 0.100 0.193  0.02
Fe 0.782 0.921 0.170  3.78
O 0.380 0.896 0.779  0.00
O 0.259 0.708 0.231  0.00
O 0.097 0.167 0.347  0.01
O 0.052 0.771 0.412  0.00
O 0.894 0.415 0.170  0.00
Li 0.616 0.459 0.880  0.00
Li 0.373 0.530 0.127  0.00
O 0.905 0.823 0.646  0.00
O 0.745 0.298 0.754  0.00
P 0.038 0.663 0.216  0.00
O 0.683 0.754 0.324  0.02
P 0.173 0.273 0.542  0.00
Li 0.199 0.078 0.833  0.00
O 0.724 0.462 0.389  0.00
O 0.903 0.716 0.089  0.02

Computed properties:
DOS at the Fermi energy   0.00 states/eV per cell
Total energy   -197.96 eV for the cell shown